First-principles (PBE) data for an optimized crystal structure of B2PRh8, as listed in Alexandria.

Computed properties:
Crystal system   monoclinic
Raw total energy   -159.5 eV for the cell shown
Formation enthalpy at 0 K   -0.199 eV per atom

Cell lengths 15.6864, 2.7873, 7.3694 Å; angles 90.00, 117.95, 90.00 degrees
With the nearest neighbours (Å) after each atom.
Space group C2/m (No. 12)
Symmetry-distinct sites (fractional):
B 0.1105 0.0000 0.1103 [4 per cell]  6 Rh 2.14-2.15
P 0.0000 0.5000 0.5000 [2 per cell]  8 Rh 2.38-2.58
Rh 0.0000 0.0000 0.2047 [4 per cell]  2 B 2.15
Rh 0.1396 0.0000 0.6393 [4 per cell]  2 P 2.38
Rh 0.1729 0.5000 0.3600 [4 per cell]  2 B 2.14
Rh 0.1727 0.5000 0.9847 [4 per cell]  2 B 2.14